[1]
GdSi2Ni | OQMD via LeMat-Bulk | PBE-GGA | optimized geometry; volume = 16.6 Å³/atom; spin magnetization = 0.000 μB/cell
1.0
3.9556 0.0000 0.0000
0.0000 5.8996 0.0000
0.0000 0.0000 5.6747
Gd Si Ni
2 4 2
Direct
0.0000 0.1032 0.0000
0.5000 0.8968 0.5000
0.0000 0.2749 0.5099
0.0000 0.6259 0.7600
0.5000 0.3741 0.2600
0.5000 0.7251 0.0099
0.0000 0.5909 0.1973
0.5000 0.4091 0.6973

---

[2]
GdSi4Ni3 | OQMD via LeMat-Bulk | PBE-GGA | optimized geometry; volume = 14.4 Å³/atom; spin magnetization = 0.001 μB/cell
1.0
3.9294 0.0000 0.0000
0.0000 3.9764 0.0000
-0.2686 0.0000 7.3738
Gd Si Ni
1 4 3
Direct
0.0000 0.0000 0.0000
0.0127 0.5000 0.3298
0.4715 0.5000 0.8474
0.5323 0.0000 0.3141
0.5635 0.0000 0.6558
0.0564 0.0000 0.4846
0.5036 0.5000 0.1562
0.9497 0.5000 0.6767

---

[3]
Gd3Si3Ni | OQMD via LeMat-Bulk | PBE-GGA | optimized geometry; volume = 20.1 Å³/atom; spin magnetization = 0.186 μB/cell
1.0
5.2184 -2.1133 0.0000
5.2184 2.1133 0.0000
-4.8224 0.0000 12.7727
Gd Si Ni
6 6 2
Direct
0.0307 0.0307 0.3806
0.1020 0.1020 0.9216
0.2474 0.2474 0.2280
0.7526 0.7526 0.7720
0.8980 0.8980 0.0784
0.9693 0.9693 0.6194
0.3628 0.3628 0.4572
0.3880 0.3880 0.9240
0.4526 0.4526 0.7642
0.5474 0.5474 0.2358
0.6120 0.6120 0.0760
0.6372 0.6372 0.5428
0.2524 0.2524 0.5971
0.7476 0.7476 0.4029

---

[4]
GdSi2Ni | OQMD via LeMat-Bulk | PBE-GGA | optimized geometry; volume = 16.8 Å³/atom; spin magnetization = 0.000 μB/cell
1.0
3.9096 0.0000 0.0000
0.0000 6.1707 0.0000
0.0000 0.0000 5.5703
Gd Si Ni
2 4 2
Direct
0.2500 0.2500 0.1272
0.7500 0.7500 0.8728
0.2500 0.0446 0.6515
0.2500 0.4554 0.6515
0.7500 0.5446 0.3485
0.7500 0.9554 0.3485
0.2500 0.7500 0.3848
0.7500 0.2500 0.6152

---

[5]
GdSiNi4 | OQMD via LeMat-Bulk | PBE-GGA | optimized geometry; volume = 13.6 Å³/atom; spin magnetization = 0.004 μB/cell
1.0
5.0742 0.0000 0.0000
0.0000 8.1775 0.0000
0.0000 0.0000 3.9470
Gd Si Ni
2 2 8
Direct
0.0000 0.0000 0.0000
0.5000 0.5000 0.0000
0.0000 0.5000 0.5000
0.5000 0.0000 0.5000
0.0000 0.3407 0.0000
0.0000 0.6593 0.0000
0.2500 0.2500 0.5000
0.2500 0.7500 0.5000
0.5000 0.1593 0.0000
0.5000 0.8407 0.0000
0.7500 0.2500 0.5000
0.7500 0.7500 0.5000

---

[6]
Gd3Si2Ni6 | OQMD via LeMat-Bulk | PBE-GGA | optimized geometry; volume = 15.5 Å³/atom; spin magnetization = 0.045 μB/cell
1.0
-4.4022 4.4022 4.4022
4.4022 -4.4022 4.4022
4.4022 4.4022 -4.4022
Gd Si Ni
6 4 12
Direct
0.0000 0.2851 0.2851
0.0000 0.7149 0.7149
0.2851 0.0000 0.2851
0.2851 0.2851 0.0000
0.7149 0.0000 0.7149
0.7149 0.7149 0.0000
0.0000 0.0000 0.5000
0.0000 0.5000 0.0000
0.5000 0.0000 0.0000
0.5000 0.5000 0.5000
0.0000 0.3306 0.6694
0.0000 0.6694 0.3306
0.3306 0.0000 0.6694
0.3306 0.3306 0.6611
0.3306 0.6611 0.3306
0.3306 0.6694 0.0000
0.3389 0.6694 0.6694
0.6611 0.3306 0.3306
0.6694 0.0000 0.3306
0.6694 0.3306 0.0000
0.6694 0.3389 0.6694
0.6694 0.6694 0.3389

---

[7]
GdSi2Ni | OQMD via LeMat-Bulk | PBE-GGA | optimized geometry; volume = 17.9 Å³/atom; spin magnetization = 0.002 μB/cell
1.0
3.7027 0.0000 0.0000
0.0000 5.2048 0.0000
0.0000 0.0000 7.4167
Gd Si Ni
2 4 2
Direct
0.0000 0.0000 0.0000
0.0000 0.0000 0.5000
0.0000 0.4625 0.2508
0.0000 0.5375 0.7508
0.5000 0.2367 0.7502
0.5000 0.7633 0.2502
0.5000 0.4975 0.0015
0.5000 0.5025 0.5015

---

[8]
Gd3SiNi4 | OQMD via LeMat-Bulk | PBE-GGA | optimized geometry; volume = 17.7 Å³/atom; spin magnetization = 0.008 μB/cell
1.0
5.2080 0.0000 0.0000
0.0000 4.1123 0.0000
-0.6407 0.0000 6.6196
Gd Si Ni
3 1 4
Direct
0.0000 0.0000 0.0000
0.1865 0.0000 0.4842
0.6890 0.5000 0.6198
0.4483 0.5000 0.1472
0.2325 0.5000 0.8033
0.4833 0.0000 0.9092
0.6213 0.0000 0.2829
0.9123 0.5000 0.2563

---

| no. | uncorrected energy (eV per atom) |
| --- | --- |
| 1 | -5.891 |
| 2 | -5.980 |
| 3 | -5.917 |
| 4 | -6.044 |
| 5 | -5.996 |
| 6 | -5.927 |
| 7 | -5.764 |
| 8 | -5.628 |